1.
{"formula": "K2CuGe2", "functional": "GGA-PBE", "state": "relaxed", "energy_ev_per_atom": -3.0056, "total_magnetization_mub_per_cell": 0.0, "crystal_system": "tetragonal", "n_ef_per_ev_fu": 3.23, "lattice": [[6.6120, 0.0000, 0.0000], [0.0000, 6.6120, 0.0000], [0.0000, 0.0000, 5.6979]], "species": ["Ge", "K", "Ge", "K", "K", "Cu", "Ge", "Ge", "K", "Cu"], "frac_coords": [[0.8630, 0.6370, 0.0000], [0.6804, 0.8196, 0.5000], [0.6370, 0.1370, 0.0000], [0.3196, 0.1804, 0.5000], [0.1804, 0.6804, 0.5000], [0.0000, 0.0000, 0.0000], [0.1370, 0.3630, 0.0000], [0.3630, 0.8630, 0.0000], [0.8196, 0.3196, 0.5000], [0.5000, 0.5000, 0.0000]]}



2.
{"formula": "La2Pm4Ho2Er", "functional": "GGA-PBE", "state": "relaxed", "energy_ev_per_atom": -4.7227, "total_magnetization_mub_per_cell": 0.0, "crystal_system": "monoclinic", "n_ef_per_ev_fu": 12.40, "lattice": [[3.6683, 0.0000, 0.0000], [-1.8341, 9.4694, -0.4885], [0.0000, -3.7518, 8.9602]], "species": ["Pm", "Pm", "Pm", "Pm", "Ho", "Er", "La", "Ho", "La"], "frac_coords": [[0.1860, 0.3721, 0.3348], [0.8140, 0.6279, 0.6652], [0.5190, 0.0379, 0.3354], [0.4810, 0.9621, 0.6646], [0.1474, 0.2947, 0.6648], [0.0000, 0.0000, 0.0000], [0.6651, 0.3303, 0.9978], [0.8526, 0.7053, 0.3352], [0.3349, 0.6697, 0.0022]]}



3.
{"formula": "Tb3PrNd12", "functional": "GGA-PBE", "state": "relaxed", "energy_ev_per_atom": -4.7298, "total_magnetization_mub_per_cell": 0.0, "crystal_system": "tetragonal", "n_ef_per_ev_fu": 24.63, "lattice": [[5.1753, 0.0000, 0.0000], [0.0000, 5.1753, 0.0000], [0.0000, 0.0000, 20.6857]], "species": ["Nd", "Pr", "Nd", "Nd", "Nd", "Nd", "Nd", "Nd", "Nd", "Nd", "Nd", "Nd", "Tb", "Nd", "Tb", "Tb"], "frac_coords": [[0.0000, 0.5000, 0.3757], [0.0000, 0.0000, 0.0000], [0.5000, 0.5000, 0.7481], [0.5000, 0.0000, 0.1270], [0.5000, 0.0000, 0.3757], [0.5000, 0.5000, 0.5000], [0.5000, 0.5000, 0.0000], [0.5000, 0.5000, 0.2519], [0.0000, 0.5000, 0.8730], [0.0000, 0.5000, 0.1270], [0.0000, 0.5000, 0.6243], [0.5000, 0.0000, 0.6243], [0.0000, 0.0000, 0.7486], [0.5000, 0.0000, 0.8730], [0.0000, 0.0000, 0.5000], [0.0000, 0.0000, 0.2514]]}



4.
{"formula": "CaAsSeBr2", "functional": "GGA-PBE", "state": "relaxed", "energy_ev_per_atom": -2.9804, "de_polymorph_mev_per_atom": 308, "total_magnetization_mub_per_cell": 1.0, "e_form_raw_ev_per_fu": -1.4, "crystal_system": "tetragonal", "n_ef_per_ev_fu": 3.20, "lattice": [[-4.8663, -1.6824, 1.8290], [2.2340, -1.1998, 4.8401], [-1.1882, 5.5208, 1.9170]], "species": ["Ca", "Br", "Se", "As", "Br"], "frac_coords": [[0.0000, 0.0000, 0.0000], [0.5000, 0.0000, 0.0000], [0.0000, 0.0000, 0.5000], [0.5000, 0.5000, 0.5000], [0.0000, 0.5000, 0.0000]]}



5.
{"formula": "Sc6GeRu5", "functional": "GGA-PBE", "state": "relaxed", "energy_ev_per_atom": -8.0410, "total_magnetization_mub_per_cell": 0.0, "crystal_system": "orthorhombic", "n_ef_per_ev_fu": 4.74, "lattice": [[4.3571, 0.0184, -1.2715], [-0.8982, 5.7503, -2.9944], [-0.0651, 0.3699, 7.8831]], "species": ["Ru", "Ge", "Sc", "Ru", "Sc", "Sc", "Sc", "Ru", "Sc", "Ru", "Sc", "Ru"], "frac_coords": [[0.3377, 0.8377, 0.6753], [0.0000, 0.0000, 0.0000], [0.8289, 0.0857, 0.6578], [0.0000, 0.5000, 0.0000], [0.8289, 0.5721, 0.6578], [0.5000, 0.2642, 0.0000], [0.1711, 0.4279, 0.3422], [0.3324, 0.3324, 0.6649], [0.5000, 0.7358, 0.0000], [0.6623, 0.1623, 0.3247], [0.1711, 0.9143, 0.3422], [0.6676, 0.6676, 0.3351]]}



6.
{"formula": "La2SiPt", "functional": "GGA-PBE", "state": "relaxed", "energy_ev_per_atom": -6.1015, "total_magnetization_mub_per_cell": 0.0, "e_form_raw_ev_per_fu": -3.1, "crystal_system": "trigonal", "n_ef_per_ev_fu": 1.85, "lattice": [[-0.4764, -1.9682, -3.9053], [-1.0104, -4.2768, -0.2004], [-7.1448, -0.5074, -1.3459]], "species": ["La", "Si", "Pt", "La"], "frac_coords": [[0.4992, 0.4992, 0.5020], [0.2500, 0.2500, 0.2500], [0.7500, 0.7500, 0.7500], [0.0008, 0.0008, 0.9980]]}



7.
{"formula": "UGeRh", "functional": "GGA-PBE", "state": "relaxed", "energy_ev_per_atom": -8.3210, "total_magnetization_mub_per_cell": 13.5, "crystal_system": "orthorhombic", "n_ef_per_ev_fu": 5.19, "lattice": [[-1.5196, 0.9793, 4.0198], [4.2394, -5.6166, 2.9711], [10.0370, 8.4890, 1.7262]], "species": ["Ge", "Rh", "Rh", "Rh", "Ge", "Rh", "Rh", "Ge", "U", "Ge", "U", "U", "Rh", "U", "Rh", "U", "Ge", "U", "Ge", "Ge", "Rh", "Ge", "U", "U"], "frac_coords": [[0.0000, 0.9149, 0.5998], [0.0000, 0.5842, 0.6469], [0.0000, 0.5842, 0.3531], [0.0000, 0.9215, 0.8819], [0.5000, 0.0851, 0.0998], [0.5000, 0.0785, 0.3819], [0.5000, 0.0785, 0.6181], [0.5000, 0.4121, 0.3565], [0.0000, 0.2162, 0.7528], [0.5000, 0.0851, 0.9002], [0.0000, 0.2940, 0.5000], [0.5000, 0.7101, 0.5000], [0.0000, 0.9215, 0.1181], [0.5000, 0.7838, 0.2528], [0.5000, 0.4158, 0.8531], [0.0000, 0.2899, 0.0000], [0.5000, 0.4121, 0.6435], [0.5000, 0.7060, 0.0000], [0.0000, 0.5879, 0.8565], [0.0000, 0.9149, 0.4002], [0.5000, 0.4158, 0.1469], [0.0000, 0.5879, 0.1435], [0.0000, 0.2162, 0.2472], [0.5000, 0.7838, 0.7472]]}



8.
{"formula": "Na2PrGaSb2", "functional": "GGA-PBE", "state": "relaxed", "energy_ev_per_atom": -3.6286, "total_magnetization_mub_per_cell": 0.0, "e_form_raw_ev_per_fu": -3.1, "crystal_system": "orthorhombic", "n_ef_per_ev_fu": 1.76, "lattice": [[-0.9843, 2.6443, -3.5877], [-7.8792, -2.8782, 0.0404], [-2.4219, 6.7088, 5.6091]], "species": ["Sb", "Na", "Ga", "Na", "Sb", "Ga", "Sb", "Sb", "Na", "Pr", "Na", "Pr"], "frac_coords": [[0.0000, 0.2567, 0.8179], [0.0000, 0.8611, 0.8504], [0.5000, 0.6443, 0.3259], [0.5000, 0.5311, 0.9076], [0.5000, 0.7551, 0.6314], [0.5000, 0.1443, 0.6741], [0.0000, 0.7567, 0.1821], [0.5000, 0.2551, 0.3686], [0.5000, 0.0311, 0.0924], [0.0000, 0.9974, 0.4783], [0.0000, 0.3611, 0.1496], [0.0000, 0.4974, 0.5217]]}



9.
{"formula": "Cs3La2HoO6", "functional": "GGA-PBE", "state": "relaxed", "energy_ev_per_atom": -6.4849, "total_magnetization_mub_per_cell": 0.0, "e_form_raw_ev_per_fu": -31.1, "crystal_system": "monoclinic", "n_ef_per_ev_fu": 0.00, "lattice": [[-3.2917, -4.2641, 3.4747], [5.5924, 2.2678, 2.1617], [-4.0923, 5.8312, 1.3199]], "species": ["O", "O", "La", "Cs", "O", "La", "Cs", "O", "O", "Cs", "O", "Ho"], "frac_coords": [[0.9441, 0.6261, 0.8328], [0.3739, 0.0559, 0.1672], [0.6667, 0.3333, 0.0000], [0.8348, 0.1652, 0.5000], [0.6261, 0.9441, 0.8328], [0.3333, 0.6667, 0.0000], [0.5000, 0.5000, 0.5000], [0.2624, 0.2624, 0.8319], [0.7376, 0.7376, 0.1681], [0.1652, 0.8348, 0.5000], [0.0559, 0.3739, 0.1672], [0.0000, 0.0000, 0.0000]]}



10.
{"formula": "Dy4Ho", "functional": "GGA-PBE", "state": "relaxed", "energy_ev_per_atom": -4.5790, "de_polymorph_mev_per_atom": 0, "total_magnetization_mub_per_cell": 0.0, "crystal_system": "monoclinic", "n_ef_per_ev_fu": 6.80, "lattice": [[-1.2794, -3.1793, -0.8484], [2.0127, -2.8733, 0.3971], [-4.6851, -3.5771, 13.2625]], "species": ["Dy", "Dy", "Dy", "Dy", "Ho"], "frac_coords": [[0.2004, 0.2004, 0.3999], [0.7996, 0.7996, 0.6001], [0.3997, 0.3997, 0.8005], [0.6003, 0.6003, 0.1995], [0.0000, 0.0000, 0.0000]]}